# 1
CaZnGe2: optimized geometry, PBE.

Computed properties:
**E_form**: -0.3562 eV/atom
**M_tot**: 0.000 μB/atom
**Final energy**: -3.484 eV per atom

```
CaZnGe2
1.0
14.0651 0.0000 0.0000
0.0000 4.3283 0.0000
0.0000 0.0000 11.0374
Ca Zn Ge
8 8 16
Direct
0.0519 0.2500 0.2473 Ca
0.2030 0.7500 0.5283 Ca
0.2970 0.2500 0.0283 Ca
0.4481 0.7500 0.7473 Ca
0.5519 0.2500 0.2527 Ca
0.7030 0.7500 0.9717 Ca
0.7970 0.2500 0.4717 Ca
0.9481 0.7500 0.7527 Ca
0.0535 0.2500 0.9521 Zn
0.2062 0.7500 0.8168 Zn
0.2938 0.2500 0.3168 Zn
0.4465 0.7500 0.4521 Zn
0.5535 0.2500 0.5479 Zn
0.7062 0.7500 0.6832 Zn
0.7938 0.2500 0.1832 Zn
0.9465 0.7500 0.0479 Zn
0.0482 0.2500 0.5161 Ge
0.1064 0.2500 0.7304 Ge
0.1337 0.7500 0.0318 Ge
0.2067 0.7500 0.2437 Ge
0.2933 0.2500 0.7437 Ge
0.3663 0.2500 0.5318 Ge
0.3936 0.7500 0.2304 Ge
0.4518 0.7500 0.0161 Ge
0.5482 0.2500 0.9839 Ge
0.6064 0.2500 0.7696 Ge
0.6337 0.7500 0.4682 Ge
0.7067 0.7500 0.2563 Ge
0.7933 0.2500 0.7563 Ge
0.8663 0.2500 0.9682 Ge
0.8936 0.7500 0.2696 Ge
0.9518 0.7500 0.4839 Ge
```

***

# 2
CaZnGe2: optimized geometry, PBE.

Computed properties:
**E_form**: -0.2305 eV/atom
**M_tot**: 0.000 μB/atom
**Final energy**: -3.358 eV per atom

```
CaZnGe2
1.0
4.3585 0.0000 0.0000
0.0000 4.3585 0.0000
0.0000 0.0000 4.2047
Ca Zn Ge
1 1 2
Direct
0.0000 0.0000 0.0000 Ca
0.5000 0.5000 0.0000 Zn
0.0000 0.5000 0.5000 Ge
0.5000 0.0000 0.5000 Ge
```

***

# 3
Ca3Zn2Ge4: optimized geometry, PBE.

Computed properties:
**E_form**: -0.4919 eV/atom
**M_tot**: 0.000 μB/atom
**Final energy**: -3.494 eV per atom

```
Ca3Zn2Ge4
1.0
5.6391 -2.1298 0.0000
5.6391 2.1298 0.0000
-2.0483 0.0000 8.1219
Ca Zn Ge
3 2 4
Direct
0.0000 0.0000 0.0000 Ca
0.3837 0.3837 0.2997 Ca
0.6163 0.6163 0.7003 Ca
0.3028 0.3028 0.6293 Zn
0.6972 0.6972 0.3707 Zn
0.0777 0.0777 0.3994 Ge
0.2921 0.2921 0.9345 Ge
0.7079 0.7079 0.0655 Ge
0.9223 0.9223 0.6006 Ge
```

***

# 4
Ca3Zn9Ge2: optimized geometry, PBE.

Computed properties:
**E_form**: -0.2475 eV/atom
**M_tot**: 0.000 μB/atom
**Final energy**: -2.155 eV per atom

```
Ca3Zn9Ge2
1.0
-2.1830 4.8956 6.2885
2.1830 -4.8956 6.2885
2.1830 4.8956 -6.2885
Ca Zn Ge
3 9 2
Direct
0.0000 0.0000 0.0000 Ca
0.3089 0.3089 0.0000 Ca
0.6911 0.6911 0.0000 Ca
0.0330 0.6642 0.3688 Zn
0.1402 0.8622 0.2781 Zn
0.2954 0.6642 0.6312 Zn
0.4159 0.1378 0.2781 Zn
0.5000 0.0000 0.5000 Zn
0.5841 0.8622 0.7219 Zn
0.7046 0.3358 0.3688 Zn
0.8598 0.1378 0.7219 Zn
0.9670 0.3358 0.6312 Zn
0.2931 0.5000 0.7931 Ge
0.7069 0.5000 0.2069 Ge
```

***

# 5
Ca3ZnGe2: optimized geometry, PBE.

Computed properties:
**E_form**: -0.5536 eV/atom
**Polymorph energy (0 for the lowest one)**: 0 meV/atom
**M_tot**: 0.000 μB/atom
**Final energy**: -3.306 eV per atom

```
Ca3ZnGe2
1.0
11.8972 0.0000 0.0000
0.0000 4.3164 0.0000
0.0000 0.0000 12.0373
Ca Zn Ge
12 4 8
Direct
0.0579 0.2500 0.1203 Ca
0.1259 0.7500 0.5614 Ca
0.2018 0.2500 0.8094 Ca
0.2982 0.7500 0.3094 Ca
0.3741 0.2500 0.0614 Ca
0.4421 0.7500 0.6203 Ca
0.5579 0.2500 0.3797 Ca
0.6259 0.7500 0.9386 Ca
0.7018 0.2500 0.6906 Ca
0.7982 0.7500 0.1906 Ca
0.8741 0.2500 0.4386 Ca
0.9421 0.7500 0.8797 Ca
0.1297 0.2500 0.3710 Zn
0.3703 0.7500 0.8710 Zn
0.6297 0.2500 0.1290 Zn
0.8703 0.7500 0.6290 Zn
0.0269 0.7500 0.3158 Ge
0.1919 0.7500 0.9912 Ge
0.3081 0.2500 0.4912 Ge
0.4731 0.2500 0.8158 Ge
0.5269 0.7500 0.1842 Ge
0.6919 0.7500 0.5088 Ge
0.8081 0.2500 0.0088 Ge
0.9731 0.2500 0.6842 Ge
```

***

# 6
Ca3ZnGe2: optimized geometry, PBE.

Computed properties:
**E_form**: -0.4838 eV/atom
**Polymorph energy (0 for the lowest one)**: 70 meV/atom
**M_tot**: 0.000 μB/atom
**Final energy**: -3.236 eV per atom

```
Ca3ZnGe2
1.0
-3.6550 6.6417 3.2610
3.6550 -6.6417 3.2610
3.6550 6.6417 -3.2610
Ca Zn Ge
6 2 4
Direct
0.1788 0.6645 0.8433 Ca
0.2500 0.2500 0.0000 Ca
0.3212 0.1645 0.4857 Ca
0.6788 0.8355 0.5143 Ca
0.7500 0.7500 0.0000 Ca
0.8212 0.3355 0.1567 Ca
0.2500 0.7500 0.5000 Zn
0.7500 0.2500 0.5000 Zn
0.1063 0.2802 0.3866 Ge
0.3937 0.7802 0.1739 Ge
0.6063 0.2198 0.8261 Ge
0.8937 0.7198 0.6134 Ge
```

***

# 7
CaZnGe2: optimized geometry, PBE.

Computed properties:
**E_form**: -0.2150 eV/atom
**M_tot**: 0.000 μB/atom
**Final energy**: -3.343 eV per atom

```
CaZnGe2
1.0
3.1644 0.0000 0.0000
0.0000 5.7384 0.0000
0.0000 0.0000 9.0549
Ca Zn Ge
2 2 4
Direct
0.0000 0.0000 0.0000 Ca
0.0000 0.5000 0.5000 Ca
0.5000 0.0000 0.4952 Zn
0.5000 0.5000 0.9952 Zn
0.5000 0.2453 0.7478 Ge
0.5000 0.2547 0.2478 Ge
0.5000 0.7453 0.2478 Ge
0.5000 0.7547 0.7478 Ge
```

***

# 8
Ca4Zn3Ge: optimized geometry, PBE.

Computed properties:
**E_form**: -0.3384 eV/atom
**M_tot**: 0.000 μB/atom
**Final energy**: -2.394 eV per atom

```
Ca4Zn3Ge
1.0
2.5835 1.4916 8.5022
-2.5835 1.4916 8.5022
0.0000 -2.9832 8.5022
Ca Zn Ge
4 3 1
Direct
0.1227 0.1227 0.1227 Ca
0.3729 0.3729 0.3729 Ca
0.6271 0.6271 0.6271 Ca
0.8773 0.8773 0.8773 Ca
0.2447 0.2447 0.2447 Zn
0.5000 0.5000 0.5000 Zn
0.7553 0.7553 0.7553 Zn
0.0000 0.0000 0.0000 Ge
```

***

Which formula does entry 5 have?
Ca3ZnGe2

***

Please write out number 2 again, unchanged.
CaZnGe2: optimized geometry, PBE.

Computed properties:
**E_form**: -0.2305 eV/atom
**M_tot**: 0.000 μB/atom
**Final energy**: -3.358 eV per atom

```
CaZnGe2
1.0
4.3585 0.0000 0.0000
0.0000 4.3585 0.0000
0.0000 0.0000 4.2047
Ca Zn Ge
1 1 2
Direct
0.0000 0.0000 0.0000 Ca
0.5000 0.5000 0.0000 Zn
0.0000 0.5000 0.5000 Ge
0.5000 0.0000 0.5000 Ge
```